[1]
This record from Alexandria describes a PBEsol-optimized structure of TcPt2Cl. The functional is meta-GGA SCAN.

The polymorph energy (0 for the lowest one) is 0.0 meV/atom. The calculation puts the energy relative to the elements, uncorrected at 151 meV per atom. The calculated total energy is -182.82 eV for the cell shown.

The space group is P4/mmm (No. 123) and the conventional cell measures 2.804, 2.804 and 7.791 Å, with angles of 90.00, 90.00 and 90.00 degrees. The distinct sites, in fractional coordinates, are Tc at (0.000, 0.000, 0.000), Pt at (0.500, 0.500, 0.230) and Cl at (0.000, 0.000, 0.500).


[2]
This record from Alexandria describes a PBEsol-optimized structure of TcPt2Cl. The functional is meta-GGA SCAN.

The polymorph energy (0 for the lowest one) is 431.9 meV/atom. The calculation puts the energy relative to the elements, uncorrected at 582 meV per atom. The calculated total energy is -181.09 eV for the cell shown.

The space group is Pmmm (No. 47) and the conventional cell measures 2.740, 4.530 and 4.923 Å, with angles of 90.00, 90.00 and 90.00 degrees. The distinct sites, in fractional coordinates, are Tc at (0.000, 0.000, 0.000), Pt at (0.000, 0.500, 0.500), Pt at (0.500, 0.000, 0.500) and Cl at (0.500, 0.500, 0.000).


Look up the calculated total energy of the first one.
-182.82 eV for the cell shown


Which formula does entry 2 have?
TcPt2Cl